VASP calculation (PBE) on a relaxed structure of HoScGaNi.

Properties
Polymorph energy (0 for the lowest one)   0.0 meV/atom
Symmetry   Amm2 (38)

Cell: 3.534 4.214 5.664 Å, 90.00 108.18 90.00°
Atoms (fractional coordinates):
Ho (0.853, 0.500, 0.705)
Sc (0.134, 0.000, 0.267)
Ga (0.576, 0.500, 0.151)
Ni (0.438, 0.000, 0.876)

VASP calculation (PBE) on a relaxed structure of DyBeZnPt3.

Properties
Final energy   -62.99 eV/cell
Symmetry   Cmcm (63)

Cell: 5.509 6.916 6.631 Å, 121.44 90.00 90.00°
Atoms (fractional coordinates):
Dy (0.750, 0.301, 0.602)
Dy (0.250, 0.699, 0.398)
Be (0.250, 0.386, 0.773)
Be (0.750, 0.614, 0.227)
Zn (0.250, 0.962, 0.924)
Zn (0.750, 0.038, 0.076)
Pt (0.250, 0.191, 0.383)
Pt (0.000, 0.300, 0.000)
Pt (0.500, 0.700, 0.000)
Pt (0.500, 0.300, 0.000)
Pt (0.000, 0.700, 0.000)
Pt (0.750, 0.809, 0.617)

VASP calculation (PBE) on a relaxed structure of Er2MgPa.

Properties
Polymorph energy (0 for the lowest one)   0.0 meV/atom
Symmetry   P4/mmm (123)

Cell: 3.388 3.388 9.466 Å, 90.00 90.00 90.00°
Last column: magnetic moment on the atom in μB.
Atoms (fractional coordinates):
Mg (0.500, 0.500, 0.000)  0.00
Pa (0.500, 0.500, 0.500)  0.12
Er (0.000, 0.000, 0.750)  0.00
Er (0.000, 0.000, 0.250)  0.00

VASP calculation (PBE) on a relaxed structure of LiZrSb4.

Properties
ΔE_f (raw)   0.272 eV/atom
Symmetry   F-43m (216)

Cell: 6.143 6.143 6.143 Å, 60.00 60.00 60.00°
Atoms (fractional coordinates):
Li (0.000, 0.000, 0.000)
Zr (0.750, 0.750, 0.750)
Sb (0.875, 0.375, 0.375)
Sb (0.375, 0.375, 0.875)
Sb (0.375, 0.875, 0.375)
Sb (0.375, 0.375, 0.375)

VASP calculation (PBE) on a relaxed structure of Tc2Mo.

Properties
Polymorph energy (0 for the lowest one)   31.5 meV/atom
Symmetry   Immm (71)

Cell: 4.809 4.809 4.809 Å, 146.50 131.92 59.87°
Atoms (fractional coordinates):
Mo (0.000, 0.000, 0.000)
Tc (0.330, 0.330, 0.000)
Tc (0.670, 0.670, 0.000)

VASP calculation (PBE) on a relaxed structure of SrAs3O9.

Properties
ΔE_f (raw)   -1.347 eV/atom
Symmetry   C222_1 (20)

Cell: 7.590 7.590 7.906 Å, 90.00 90.00 102.03°
Last column: magnetic moment on the atom in μB.
Atoms (fractional coordinates):
Sr (0.606, 0.606, 0.000)  0.00
Sr (0.394, 0.394, 0.500)  0.00
As (0.153, 0.826, 0.047)  -0.01
As (0.847, 0.174, 0.547)  -0.01
As (0.826, 0.153, 0.953)  -0.01
As (0.174, 0.847, 0.453)  -0.01
As (0.261, 0.261, 0.000)  0.00
As (0.739, 0.739, 0.500)  0.00
O (0.260, 0.030, 0.948)  0.00
O (0.740, 0.970, 0.448)  0.00
O (0.030, 0.260, 0.052)  0.00
O (0.970, 0.740, 0.552)  0.00
O (0.332, 0.377, 0.825)  0.03
O (0.668, 0.623, 0.325)  0.03
O (0.377, 0.332, 0.175)  0.03
O (0.623, 0.668, 0.675)  0.03
O (0.313, 0.706, 0.457)  0.08
O (0.687, 0.294, 0.957)  0.08
O (0.706, 0.313, 0.543)  0.08
O (0.294, 0.687, 0.043)  0.08
O (0.247, 0.054, 0.544)  0.36
O (0.753, 0.946, 0.044)  0.36
O (0.054, 0.247, 0.456)  0.36
O (0.946, 0.753, 0.956)  0.36
O (0.099, 0.901, 0.250)  0.00
O (0.901, 0.099, 0.750)  0.00